The following is a DFT calculation (GGA-PBE) of LiTbNdEr after structural relaxation.

Properties
Crystal system: cubic
Final energy (eV per atom): -3.81
Total magnetic moment (μB/f.u.): 0.00

Cell lengths 7.811, 7.811, 7.811 Å; angles 90.00, 90.00, 90.00 degrees
Space group F-43m (No. 216)
Symmetry-distinct sites (fractional):
Li (0.000, 0.000, 0.000) x4
Tb (0.250, 0.250, 0.250) x4
Nd (0.250, 0.250, 0.750) x4
Er (0.000, 0.000, 0.500) x4